Here is a relaxed HoMg4Zr crystal from Alexandria. Energies are from PBE.

Summary:
- formation enthalpy at 0 K (eV per atom) = 0.06
- space group = F-43m, No. 216
- calculated volume (Å³/atom) = 23.9
- excess energy over the best structure of this formula in the dataset (meV per atom) = 32
- uncorrected energy (eV/atom) = -3.19

Cell: 5.8774 5.8774 5.8774 Å, 60.00 60.00 60.00°
With the nearest neighbours (Å) after each atom.
Fractional positions:
Mg: 0.6256 0.6256 0.1231  6 Mg 2.92-2.95
Mg: 0.6256 0.1231 0.6256  6 Mg 2.92-2.95
Mg: 0.6256 0.6256 0.6256  6 Mg 2.92-2.95
Mg: 0.1231 0.6256 0.6256  6 Mg 2.92-2.95
Ho: 0.2500 0.2500 0.2500  12 Mg 3.45, 4 Zr 3.60
Zr: 0.0000 0.0000 0.0000  12 Mg 3.44, 4 Ho 3.60



Here is a relaxed Ho4Mg3Zr crystal from Alexandria. Energies are from PBE.

Summary:
- formation enthalpy at 0 K (eV per atom) = -0.02
- space group = P4/mmm, No. 123
- calculated volume (Å³/atom) = 27.1
- uncorrected energy (eV/atom) = -3.98

Cell: 3.4800 3.4800 17.8996 Å, 90.00 90.00 90.00°
With the nearest neighbours (Å) after each atom.
Fractional positions:
Mg: 0.5000 0.5000 0.2534  8 Ho 3.31-3.38, 4 Mg 3.48
Mg: 0.5000 0.5000 0.5000  8 Ho 3.30, 4 Mg 3.48
Mg: 0.5000 0.5000 0.7466  8 Ho 3.31-3.38, 4 Mg 3.48
Ho: 0.0000 0.0000 0.8763  4 Zr 3.31, 4 Mg 3.38, 4 Ho 3.48
Ho: 0.0000 0.0000 0.1237  4 Zr 3.31, 4 Mg 3.38, 4 Ho 3.48
Ho: 0.0000 0.0000 0.3772  8 Mg 3.30-3.31, 4 Ho 3.48
Ho: 0.0000 0.0000 0.6228  8 Mg 3.30-3.31, 4 Ho 3.48
Zr: 0.5000 0.5000 0.0000  8 Ho 3.31, 4 Zr 3.48



Here is a relaxed HoMgZr crystal from Alexandria. Energies are from PBE.

Summary:
- formation enthalpy at 0 K (eV per atom) = 0.00
- space group = I4mm, No. 107
- calculated volume (Å³/atom) = 25.5
- excess energy over the best structure of this formula in the dataset (meV per atom) = 6
- uncorrected energy (eV/atom) = -4.91

Cell: 3.3604 3.3604 7.1899 Å, 103.51 103.51 90.00°
With the nearest neighbours (Å) after each atom.
Fractional positions:
Mg: 0.6589 0.6589 0.3178  4 Zr 3.19, 4 Mg 3.36, 4 Ho 3.40
Ho: 0.3386 0.3386 0.6772  4 Zr 3.25, 4 Ho 3.36, 4 Mg 3.40
Zr: 0.0025 0.0025 0.0050  4 Mg 3.19, 4 Ho 3.25, 4 Zr 3.36



Here is a relaxed Ho2MgZr crystal from Alexandria. Energies are from PBE.

Summary:
- formation enthalpy at 0 K (eV per atom) = 0.04
- space group = R-3m, No. 166
- calculated volume (Å³/atom) = 27.2
- excess energy over the best structure of this formula in the dataset (meV per atom) = 56
- uncorrected energy (eV/atom) = -4.78

Cell: 3.3811 3.3811 11.1692 Å, 81.29 81.29 60.00°
With the nearest neighbours (Å) after each atom.
Fractional positions:
Mg: 0.5000 0.5000 0.5000  6 Mg 3.38, 6 Ho 3.46
Ho: 0.7469 0.7469 0.7593  3 Zr 3.29, 6 Ho 3.38, 3 Mg 3.46
Ho: 0.2531 0.2531 0.2407  3 Zr 3.29, 6 Ho 3.38, 3 Mg 3.46
Zr: 0.0000 0.0000 0.0000  6 Ho 3.29, 6 Zr 3.38



Here is a relaxed Ho3Mn crystal from Alexandria. Energies are from PBE.

Summary:
- formation enthalpy at 0 K (eV per atom) = 0.22
- space group = Pm-3m, No. 221
- calculated volume (Å³/atom) = 26.5
- uncorrected energy (eV/atom) = -5.50

Cell: 4.7319 4.7299 4.7291 Å, 90.00 90.00 90.00°
With the nearest neighbours (Å) after each atom.
Fractional positions:
Mn: 0.5000 0.0000 0.5833  12 Ho 3.34-3.35
Ho: 0.0000 0.0000 0.0833  8 Ho 3.34-3.35, 4 Mn 3.34-3.35
Ho: 0.0000 0.5000 0.5834  8 Ho 3.34-3.35, 4 Mn 3.35
Ho: 0.5000 0.5000 0.0833  4 Mn 3.34, 8 Ho 3.34-3.35



Here is a relaxed HoMn4 crystal from Alexandria. Energies are from PBE.

Summary:
- formation enthalpy at 0 K (eV per atom) = 1.73
- space group = Pm-3m, No. 221
- calculated volume (Å³/atom) = 22.6
- uncorrected energy (eV/atom) = -6.52

Cell: 4.8352 4.8352 4.8352 Å, 90.00 90.00 90.00°
With the nearest neighbours (Å) after each atom.
Fractional positions:
Mn: 0.0000 0.0000 0.0000  12 Mn 3.42
Mn: 0.5000 0.0000 0.5000  2 Ho 2.42
Mn: 0.0000 0.5000 0.5000  2 Ho 2.42
Mn: 0.5000 0.5000 0.0000  2 Ho 2.42
Ho: 0.5000 0.5000 0.5000  6 Mn 2.42



Here is a relaxed Ho2Mn17 crystal from Alexandria. Energies are from PBE.

Summary:
- formation enthalpy at 0 K (eV per atom) = -0.01
- space group = R-3m, No. 166
- calculated volume (Å³/atom) = 13.2
- uncorrected energy (eV/atom) = -8.69

Cell: 6.3112 6.3112 6.3112 Å, 86.27 86.27 86.27°
With the nearest neighbours (Å) after each atom.
Fractional positions:
Ho: 0.3550 0.3550 0.3550  13 Mn 2.92-3.17
Ho: 0.6450 0.6450 0.6450  13 Mn 2.92-3.17
Mn: 0.6440 0.6440 0.1235  9 Mn 2.47-2.68
Mn: 0.1235 0.6440 0.6440  9 Mn 2.47-2.68
Mn: 0.9003 0.9003 0.9003  1 Mn 2.32
Mn: 0.0997 0.0997 0.0997  1 Mn 2.32
Mn: 0.0000 0.0000 0.5000  8 Mn 2.31-2.47
Mn: 0.0000 0.5000 0.0000  8 Mn 2.31-2.47
Mn: 0.5000 0.0000 0.0000  8 Mn 2.31-2.47
Mn: 0.2755 0.7245 0.0000  6 Mn 2.31-2.51
Mn: 0.7245 0.0000 0.2755  6 Mn 2.31-2.51
Mn: 0.0000 0.2755 0.7245  6 Mn 2.31-2.51
Mn: 0.7245 0.2755 0.0000  6 Mn 2.31-2.51
Mn: 0.2755 0.0000 0.7245  6 Mn 2.31-2.51
Mn: 0.0000 0.7245 0.2755  6 Mn 2.31-2.51
Mn: 0.8765 0.3560 0.3560  9 Mn 2.47-2.68
Mn: 0.3560 0.3560 0.8765  9 Mn 2.47-2.68
Mn: 0.3560 0.8765 0.3560  9 Mn 2.47-2.68
Mn: 0.6440 0.1235 0.6440  9 Mn 2.47-2.68



Here is a relaxed HoMn12 crystal from Alexandria. Energies are from PBE.

Summary:
- formation enthalpy at 0 K (eV per atom) = 0.00
- space group = I4/mmm, No. 139
- calculated volume (Å³/atom) = 12.3
- uncorrected energy (eV/atom) = -8.81

Cell: 6.2934 6.2934 6.2934 Å, 97.98 97.98 136.24°
With the nearest neighbours (Å) after each atom.
Fractional positions:
Ho: 0.0000 0.0000 0.0000  20 Mn 3.01-3.15
Mn: 0.5000 0.2712 0.7712  8 Mn 2.38-2.60
Mn: 0.5000 0.0000 0.0000  10 Mn 2.35-2.56
Mn: 0.5000 0.5000 0.5000  10 Mn 2.35-2.56
Mn: 0.0000 0.0000 0.5000  10 Mn 2.35-2.56
Mn: 0.0000 0.5000 0.0000  10 Mn 2.35-2.56
Mn: 0.0000 0.6350 0.6350  1 Mn 2.23
Mn: 0.3650 0.0000 0.3650  1 Mn 2.23
Mn: 0.6350 0.0000 0.6350  1 Mn 2.23
Mn: 0.0000 0.3650 0.3650  1 Mn 2.23
Mn: 0.5000 0.7288 0.2288  8 Mn 2.38-2.60
Mn: 0.2712 0.5000 0.7712  8 Mn 2.38-2.60
Mn: 0.7288 0.5000 0.2288  8 Mn 2.38-2.60



Here is a relaxed HoMn2 crystal from Alexandria. Energies are from PBE.

Summary:
- formation enthalpy at 0 K (eV per atom) = 0.12
- space group = Fd-3m, No. 227
- calculated volume (Å³/atom) = 15.5
- uncorrected energy (eV/atom) = -7.52

Cell: 5.0859 5.0859 5.0859 Å, 60.00 60.00 60.00°
With the nearest neighbours (Å) after each atom.
Fractional positions:
Ho: 0.7500 0.7500 0.7500  12 Mn 2.98, 4 Ho 3.11
Ho: 0.5000 0.5000 0.5000  12 Mn 2.98, 4 Ho 3.11
Mn: 0.6250 0.1250 0.1250  6 Mn 2.54
Mn: 0.1250 0.1250 0.6250  6 Mn 2.54
Mn: 0.1250 0.6250 0.1250  6 Mn 2.54
Mn: 0.1250 0.1250 0.1250  6 Mn 2.54



Here is a relaxed Ho3Mn crystal from Alexandria. Energies are from PBE.

Summary:
- formation enthalpy at 0 K (eV per atom) = 0.15
- space group = Immm, No. 71
- calculated volume (Å³/atom) = 26.5
- uncorrected energy (eV/atom) = -5.58

Cell: 3.6587 5.3064 6.3336 Å, 114.77 106.79 90.00°
With the nearest neighbours (Å) after each atom.
Fractional positions:
Mn: 0.0000 0.9170 0.0000  8 Ho 2.93-3.22
Ho: 0.2903 0.7067 0.5805  2 Mn 2.93
Ho: 0.5000 0.4168 0.0000  4 Mn 3.22, 4 Ho 3.50
Ho: 0.7097 0.1261 0.4195  2 Mn 2.93



Here is a relaxed HoMn2 crystal from Alexandria. Energies are from PBE.

Summary:
- formation enthalpy at 0 K (eV per atom) = 0.06
- space group = P6_3/mmc, No. 194
- calculated volume (Å³/atom) = 16.6
- uncorrected energy (eV/atom) = -7.58

Cell: 5.3634 5.3634 7.9986 Å, 90.00 90.00 120.00°
With the nearest neighbours (Å) after each atom.
Fractional positions:
Mn: 0.0000 0.0000 0.0000  6 Mn 2.53
Mn: 0.0000 0.0000 0.5000  6 Mn 2.53
Mn: 0.1661 0.8339 0.7500  6 Mn 2.53-2.69
Mn: 0.8339 0.6677 0.2500  6 Mn 2.53-2.69
Mn: 0.3323 0.1661 0.2500  6 Mn 2.53-2.69
Mn: 0.6677 0.8339 0.7500  6 Mn 2.53-2.69
Mn: 0.1661 0.3323 0.7500  6 Mn 2.53-2.69
Mn: 0.8339 0.1661 0.2500  6 Mn 2.53-2.69
Ho: 0.6667 0.3333 0.9405  12 Mn 2.92-3.13, 4 Ho 3.05-3.24
Ho: 0.3333 0.6667 0.4405  12 Mn 2.92-3.13, 4 Ho 3.05-3.24
Ho: 0.3333 0.6667 0.0595  12 Mn 2.92-3.13, 4 Ho 3.05-3.24
Ho: 0.6667 0.3333 0.5595  12 Mn 2.92-3.13, 4 Ho 3.05-3.24



Here is a relaxed Ho2Mn16Mo crystal from Alexandria. Energies are from PBE.

Summary:
- formation enthalpy at 0 K (eV per atom) = 0.01
- space group = R3m, No. 160
- calculated volume (Å³/atom) = 13.4
- uncorrected energy (eV/atom) = -8.76

Cell: 6.3545 6.3545 6.3545 Å, 86.20 86.20 86.20°
With the nearest neighbours (Å) after each atom.
Fractional positions:
Ho: 0.6430 0.6430 0.6430  12 Mn 2.93-3.18, 1 Mo 3.02
Ho: 0.3535 0.3535 0.3535  13 Mn 2.90-3.16
Mn: 0.7227 0.0023 0.2797  7 Mn 2.32-2.59
Mn: 0.0023 0.2797 0.7227  7 Mn 2.32-2.59
Mn: 0.2797 0.7227 0.0023  7 Mn 2.32-2.59
Mn: 0.0023 0.7227 0.2797  7 Mn 2.32-2.59
Mn: 0.7227 0.2797 0.0023  7 Mn 2.32-2.59
Mn: 0.2797 0.0023 0.7227  7 Mn 2.32-2.59
Mn: 0.3558 0.8754 0.3558  9 Mn 2.48-2.69
Mn: 0.8754 0.3558 0.3558  9 Mn 2.48-2.69
Mn: 0.3558 0.3558 0.8754  9 Mn 2.48-2.69
Mn: 0.6387 0.1261 0.6387  8 Mn 2.48-2.69, 1 Mo 2.71
Mn: 0.1261 0.6387 0.6387  8 Mn 2.48-2.69, 1 Mo 2.71
Mn: 0.6387 0.6387 0.1261  8 Mn 2.48-2.69, 1 Mo 2.71
Mn: 0.0000 0.4989 0.0000  8 Mn 2.32-2.51
Mn: 0.4989 0.0000 0.0000  8 Mn 2.32-2.51
Mn: 0.0000 0.0000 0.4989  8 Mn 2.32-2.51
Mn: 0.1042 0.1042 0.1042  1 Mo 2.39, 6 Mn 2.61-2.64
Mo: 0.9004 0.9004 0.9004  4 Mn 2.39-2.63



Here is a relaxed HoMn4Mo crystal from Alexandria. Energies are from PBE.

Summary:
- formation enthalpy at 0 K (eV per atom) = 0.12
- space group = F-43m, No. 216
- calculated volume (Å³/atom) = 14.1
- uncorrected energy (eV/atom) = -8.56

Cell: 4.9247 4.9247 4.9247 Å, 60.00 60.00 60.00°
With the nearest neighbours (Å) after each atom.
Fractional positions:
Mo: 0.2500 0.2500 0.2500  12 Mn 2.89, 4 Ho 3.02
Mn: 0.6247 0.6247 0.1260  6 Mn 2.46-2.47
Mn: 0.6247 0.1260 0.6247  6 Mn 2.46-2.47
Mn: 0.6247 0.6247 0.6247  6 Mn 2.46-2.47
Mn: 0.1260 0.6247 0.6247  6 Mn 2.46-2.47
Ho: 0.0000 0.0000 0.0000  12 Mn 2.89, 4 Mo 3.02